Entry 1:
Computed, not measured: Pm3SbN after structural relaxation at the PBE-GGA level of DFT.

Summary:
E_form (uncorrected)   -999 meV/atom
Total moment   0.00 μB per formula unit
E above lowest polymorph   0.000 eV/atom

a b c (Å): 4.863 21.874 4.914
angles (deg): 90.00 90.00 90.00
Space group Cmcm (No. 63)
Unique sites:
Pm 0.000 0.056 0.250 (multiplicity 4)
Pm 0.000 0.183 0.750 (multiplicity 4)
Pm 0.000 0.433 0.250 (multiplicity 4)
Sb 0.000 0.330 0.750 (multiplicity 4)
N 0.000 0.065 0.750 (multiplicity 4)

Entry 2:
Computed, not measured: BaCuAu2 after structural relaxation at the PBE-GGA level of DFT.

Summary:
Total moment   0.00 μB per formula unit
E above lowest polymorph   0.315 eV/atom

a b c (Å): 7.401 7.401 7.401
angles (deg): 90.00 90.00 90.00
Space group Fm-3m (No. 225)
Unique sites:
Ba 0.000 0.000 0.000 (multiplicity 4)
Cu 0.000 0.000 0.500 (multiplicity 4)
Au 0.250 0.250 0.250 (multiplicity 8)

Entry 3:
Computed, not measured: BaCd2B2O6 after structural relaxation at the PBE-GGA level of DFT.

Summary:
E_form (uncorrected)   -2029 meV/atom
Total moment   0.00 μB per formula unit

a b c (Å): 5.470 5.764 6.475
angles (deg): 70.01 65.67 84.63
Space group P-1 (No. 2)
Unique sites:
Ba 0.000 0.000 0.000 (multiplicity 1)
Cd 0.182 0.715 0.520 (multiplicity 2)
B 0.386 0.239 0.321 (multiplicity 2)
O 0.218 0.327 0.510 (multiplicity 2)
O 0.261 0.102 0.247 (multiplicity 2)
O 0.340 0.720 0.776 (multiplicity 2)

Entry 4:
Computed, not measured: Ac2SiHg2Pt4 after structural relaxation at the PBE-GGA level of DFT.

Summary:
E_form (uncorrected)   -705 meV/atom
Total moment   0.00 μB per formula unit

a b c (Å): 6.839 6.839 8.739
angles (deg): 90.00 90.00 90.00
Space group I4/mmm (No. 139)
Unique sites:
Ac 0.000 0.500 0.250 (multiplicity 4)
Si 0.000 0.000 0.000 (multiplicity 2)
Hg 0.000 0.000 0.322 (multiplicity 4)
Pt 0.244 0.244 0.000 (multiplicity 8)